No. 1
{"formula": "CsGe2Sb2", "functional": "PBE-GGA", "state": "optimized geometry", "relative_energy_mev_per_atom": 0, "density_g_cm3": 4.92, "formation_energy_uncorrected_mev_per_atom": -129, "lattice": [[5.0092, 0.0000, 0.0000], [0.0000, 5.0092, 0.0000], [2.5046, 2.5046, 7.0110]], "species": ["Cs", "Ge", "Sb", "Ge", "Sb"], "fractional_positions": [[0.0000, 0.0000, 0.0000], [0.2500, 0.7500, 0.5000], [0.6555, 0.6555, 0.6890], [0.7500, 0.2500, 0.5000], [0.3445, 0.3445, 0.3110]]}

---

No. 2
{"formula": "OsSe", "functional": "PBE-GGA", "state": "optimized geometry", "density_g_cm3": 9.08, "formation_energy_uncorrected_mev_per_atom": 451, "lattice": [[-7.6852, 2.9454, 4.1487], [6.7112, -3.9048, 4.9662], [1.6821, 3.6017, 0.5588]], "species": ["Os", "Se", "Os", "Se", "Os", "Os", "Os", "Se", "Se", "Se", "Se", "Os"], "fractional_positions": [[0.9702, 0.4069, 0.2500], [0.7379, 0.1193, 0.2500], [0.4366, 0.0298, 0.2500], [0.8807, 0.6186, 0.2500], [0.4069, 0.4366, 0.7500], [0.5931, 0.5634, 0.2500], [0.0298, 0.5931, 0.7500], [0.3814, 0.2621, 0.2500], [0.2621, 0.8807, 0.7500], [0.1193, 0.3814, 0.7500], [0.6186, 0.7379, 0.7500], [0.5634, 0.9702, 0.7500]]}

---

No. 3
{"formula": "NaPmTcO5", "functional": "PBE-GGA", "state": "optimized geometry", "density_g_cm3": 4.00, "formation_energy_uncorrected_mev_per_atom": -2007, "lattice": [[6.2014, 0.2211, 0.0385], [-1.5988, 5.9959, 0.0385], [-1.8685, -2.5239, 7.6242]], "species": ["O", "O", "Na", "Tc", "Tc", "Na", "Pm", "O", "O", "O", "O", "Pm", "O", "O", "O", "O"], "fractional_positions": [[0.3097, 0.8467, 0.6194], [0.9125, 0.0875, 0.7500], [0.3147, 0.6853, 0.2500], [0.3440, 0.6560, 0.7500], [0.6560, 0.3440, 0.2500], [0.6853, 0.3147, 0.7500], [0.0000, 0.0000, 0.5000], [0.3761, 0.2943, 0.1013], [0.8467, 0.3097, 0.1194], [0.6239, 0.7057, 0.8987], [0.0875, 0.9125, 0.2500], [0.0000, 0.0000, 0.0000], [0.2943, 0.3761, 0.6013], [0.6903, 0.1533, 0.3806], [0.1533, 0.6903, 0.8806], [0.7057, 0.6239, 0.3987]]}